No. 1
Ac2TeS5: relaxed, PBE.

a = 6.9807 Å, b = 6.9807 Å, c = 6.4979 Å
α = 122.49°, β = 122.49°, γ = 90.00°
Closest atoms and distances in Å follow each position.
Element x y z (fractional)
S (0.7445, 0.7445, 0.4892)  1 Te 2.33
S (0.2588, 0.7380, 0.9968)  1 Te 2.58
S (0.2588, 0.2588, 0.9968)  1 Te 2.58
Te (0.0200, 0.0200, 0.0401)  5 S 2.33-2.58
Ac (0.7593, 0.2593, 0.5186)  10 S 3.19-3.49
S (0.7381, 0.7381, 0.9970)  1 Te 2.58
S (0.7381, 0.2588, 0.9969)  1 Te 2.58
Ac (0.2593, 0.7593, 0.5186)  10 S 3.19-3.49

Values from the calculation:
Raw total energy: -5.152 eV/atom
Space group: I4mm
ΔE_f (raw): -1.15 eV per atom
Energy above the lowest structure with this stoichiometry: 21.0 kJ/mol of atoms
D(E_F): 0.0 states/eV/f.u.

No. 2
Ac2TeS5: relaxed, PBE.

a = 4.2269 Å, b = 8.1391 Å, c = 11.6606 Å
α = 90.00°, β = 90.00°, γ = 90.00°
Closest atoms and distances in Å follow each position.
Element x y z (fractional)
S (0.5000, 0.8102, 0.9338)  2 Te 2.73
S (0.0000, 0.0000, 0.5000)  4 Ac 2.96
Ac (0.5000, 0.4207, 0.8311)  7 S 2.96-3.22
S (0.0000, 0.6410, 0.7064)  1 Te 2.67
Ac (0.5000, 0.9207, 0.6689)  7 S 2.96-3.22
S (0.0000, 0.1410, 0.7936)  1 Te 2.67
S (0.5000, 0.1898, 0.0662)  2 Te 2.73
S (0.5000, 0.3102, 0.5662)  2 Te 2.73
S (0.0000, 0.8590, 0.2064)  1 Te 2.67
Te (0.0000, 0.5000, 0.5000)  6 S 2.67-2.73
Ac (0.5000, 0.5793, 0.1689)  7 S 2.96-3.22
S (0.0000, 0.3590, 0.2936)  1 Te 2.67
Te (0.0000, 0.0000, 0.0000)  6 S 2.67-2.73
S (0.5000, 0.6898, 0.4338)  2 Te 2.73
S (0.0000, 0.5000, 0.0000)  4 Ac 2.96
Ac (0.5000, 0.0793, 0.3311)  7 S 2.96-3.22

Values from the calculation:
Raw total energy: -5.369 eV/atom
Space group: Pbam
ΔE_f (raw): -1.37 eV per atom
Energy above the lowest structure with this stoichiometry: 0.0 kJ/mol of atoms
D(E_F): 0.9 states/eV/f.u.

No. 3
AcTe2S: relaxed, PBE.

a = 4.3499 Å, b = 4.3506 Å, c = 13.7101 Å
α = 90.00°, β = 99.17°, γ = 90.00°
Closest atoms and distances in Å follow each position.
Element x y z (fractional)
S (0.2945, 0.2500, 0.5884)  5 Ac 3.01-3.14
Te (0.0783, 0.7500, 0.1587)  4 Te 3.08
S (0.7055, 0.7500, 0.4116)  5 Ac 3.01-3.14
Ac (0.8174, 0.7500, 0.6338)  5 S 3.01-3.14
Te (0.9217, 0.2500, 0.8413)  4 Te 3.08
Te (0.5784, 0.2500, 0.1588)  4 Te 3.08
Te (0.4216, 0.7500, 0.8412)  4 Te 3.08
Ac (0.1826, 0.2500, 0.3662)  5 S 3.01-3.14

Values from the calculation:
Raw total energy: -4.930 eV/atom
Space group: P2_1/m
ΔE_f (raw): -1.30 eV per atom
D(E_F): 1.0 states/eV/f.u.

No. 4
Ac2TeS2: relaxed, PBE.

a = 7.6830 Å, b = 7.6830 Å, c = 7.9030 Å
α = 114.88°, β = 114.88°, γ = 97.45°
Closest atoms and distances in Å follow each position.
Element x y z (fractional)
Ac (0.5862, 0.4138, 0.7500)  4 S 2.90-2.97
Ac (0.1641, 0.8359, 0.7500)  4 S 2.90-2.97
Ac (0.4138, 0.5862, 0.2500)  4 S 2.90-2.97
S (0.7650, 0.5156, 0.5292)  4 Ac 2.90-2.97
S (0.5156, 0.7650, 0.0292)  4 Ac 2.90-2.97
Te (0.8749, 0.1251, 0.7500)  2 Ac 3.33-3.34
Ac (0.8359, 0.1641, 0.2500)  4 S 2.90-2.97
S (0.4844, 0.2350, 0.9708)  4 Ac 2.90-2.97
S (0.2350, 0.4844, 0.4708)  4 Ac 2.90-2.97
Te (0.1251, 0.8749, 0.2500)  2 Ac 3.33-3.34

Values from the calculation:
Raw total energy: -5.829 eV/atom
Space group: C2/c
ΔE_f (raw): -1.91 eV per atom
Energy above the lowest structure with this stoichiometry: 0.0 kJ/mol of atoms
D(E_F): 0.0 states/eV/f.u.

No. 5
Ac2TeS2: relaxed, PBE.

a = 5.3268 Å, b = 5.5855 Å, c = 11.4975 Å
α = 108.28°, β = 90.00°, γ = 90.00°
Closest atoms and distances in Å follow each position.
Element x y z (fractional)
S (0.2457, 0.7566, 0.4867)  4 Ac 2.98-3.01
Ac (0.7457, 0.8095, 0.6123)  5 S 2.98-3.05
Ac (0.2457, 0.1905, 0.3877)  5 S 2.98-3.05
Te (0.2457, 0.6242, 0.7949)  6 Ac 3.49-3.73, 2 S 3.61-3.84
Te (0.7457, 0.3758, 0.2051)  6 Ac 3.49-3.73, 2 S 3.61-3.84
S (0.7457, 0.2434, 0.5133)  4 Ac 2.98-3.01
S (0.2457, 0.8317, 0.1259)  5 Ac 2.96-3.16
S (0.7457, 0.1683, 0.8741)  5 Ac 2.96-3.16
Ac (0.2457, 0.2440, 0.9923)  4 S 2.96-3.16
Ac (0.7457, 0.7560, 0.0077)  4 S 2.96-3.16

Values from the calculation:
Raw total energy: -5.808 eV/atom
Space group: P2_1/m
ΔE_f (raw): -1.89 eV per atom
Energy above the lowest structure with this stoichiometry: 2.1 kJ/mol of atoms
D(E_F): 0.4 states/eV/f.u.

No. 6
Ac4Te3S: relaxed, PBE.

a = 4.5497 Å, b = 4.5497 Å, c = 15.8698 Å
α = 81.76°, β = 81.76°, γ = 60.00°
Closest atoms and distances in Å follow each position.
Element x y z (fractional)
Te (0.2544, 0.2544, 0.2367)  6 Ac 3.37
Ac (0.3672, 0.3672, 0.8983)  3 S 3.07, 3 Te 3.37
Ac (0.8762, 0.8762, 0.3713)  6 Te 3.31-3.37
Te (0.7456, 0.7456, 0.7633)  6 Ac 3.37
Ac (0.1238, 0.1238, 0.6287)  6 Te 3.31-3.37
Te (0.5000, 0.5000, 0.5000)  6 Ac 3.31
Ac (0.6328, 0.6328, 0.1017)  3 S 3.07, 3 Te 3.37
S (0.0000, 0.0000, 0.0000)  6 Ac 3.07

Values from the calculation:
Raw total energy: -5.359 eV/atom
Space group: R-3m
ΔE_f (raw): -1.61 eV per atom
Energy above the lowest structure with this stoichiometry: 0.0 kJ/mol of atoms
D(E_F): 3.6 states/eV/f.u.

Q: What is the formula in the third record?
A: AcTe2S